Record 1
# LaTlTc2

A relaxed structure of LaTlTc2 (PBE-GGA, Alexandria via LeMat-Bulk).

offset from the most stable computed form	0.279	eV/atom
ΔE_f	384.4	meV per atom
energy	-6.6221	eV/atom
D(E_F)	1.006	states/eV per atom

POSCAR file:
```
LaTlTc2
1.0
-3.920 4.453 -1.142
-5.618 -1.167 -1.893
4.234 -0.664 4.258
Tc Tl La
2 1 1
Cartesian
-2.814 -0.184 0.508
-0.392 0.135 -0.125
-4.526 1.560 -1.440
-2.340 2.755 0.764
```



Record 2
# Tb3NdDy6Er2

A relaxed structure of Tb3NdDy6Er2 (PBE-GGA, Alexandria via LeMat-Bulk).

ΔE_f	16.0	meV per atom
energy	-4.6004	eV/atom
D(E_F)	1.267	states/eV per atom

POSCAR file:
```
Tb3NdDy6Er2
1.0
6.146 0.002 0.015
-3.070 5.324 0.015
-1.047 -1.813 11.586
Dy Nd Tb Er
6 1 3 2
Cartesian
3.058 1.740 8.708
-0.016 -0.027 8.695
2.044 3.540 2.921
2.050 -0.006 2.908
-0.021 3.518 8.708
-1.029 1.773 2.908
0.000 0.000 0.000
4.083 -0.016 5.808
-2.054 3.529 5.808
1.014 1.756 5.808
3.075 1.775 0.015
0.001 3.551 0.015
```



Record 3
# NaMgGa6

A relaxed structure of NaMgGa6 (PBE-GGA, Alexandria via LeMat-Bulk).

offset from the most stable computed form	0.055	eV/atom
ΔE_f	7.6	meV per atom
energy	-2.6267	eV/atom
D(E_F)	0.708	states/eV per atom

POSCAR file:
```
NaMgGa6
1.0
-1.463 5.136 -0.997
0.821 -0.797 -5.311
-5.167 -1.581 -0.561
Ga Mg Na
6 1 1
Cartesian
-0.528 2.370 -1.819
-0.874 -0.792 -2.795
-3.472 -1.587 -3.077
-0.115 1.969 -4.489
-2.947 0.486 -0.528
-3.683 3.068 -1.030
0.000 0.000 0.000
-2.905 1.379 -3.434
```



Record 4
# Sr3AcPb4

A relaxed structure of Sr3AcPb4 (PBE-GGA, Alexandria via LeMat-Bulk).

ΔE_f	-510.3	meV per atom
energy	-3.5087	eV/atom
D(E_F)	0.571	states/eV per atom

POSCAR file:
```
Sr3AcPb4
1.0
-1.529 -2.016 4.839
4.324 -3.335 -0.023
3.695 9.248 1.940
Pb Sr Ac
4 3 1
Cartesian
5.218 2.256 5.670
2.669 -1.034 3.494
1.271 1.642 1.086
3.820 4.932 3.262
2.162 -1.667 -0.011
4.706 1.616 2.161
1.783 2.281 4.595
-0.765 -1.008 2.419
```



Record 5
# Ba2PaCu2P4

A relaxed structure of Ba2PaCu2P4 (PBE-GGA, Alexandria via LeMat-Bulk).

ΔE_f	-846.2	meV per atom
energy	-5.6433	eV/atom
D(E_F)	0.571	states/eV per atom

POSCAR file:
```
Ba2PaCu2P4
1.0
4.093 0.000 0.000
0.000 7.375 0.218
-2.047 -2.734 6.971
Ba Pa Cu P
2 1 2 4
Cartesian
0.000 3.563 2.062
2.047 1.079 5.127
0.000 0.000 0.000
0.000 -1.663 4.556
2.047 6.304 2.633
0.000 -0.883 6.816
2.047 5.524 0.373
2.047 4.593 4.385
0.000 0.048 2.804
```



Record 6
# I

A relaxed structure of I (PBE-GGA, Alexandria via LeMat-Bulk).

offset from the most stable computed form	0.507	eV/atom
energy	-1.0432	eV/atom
D(E_F)	2.593	states/eV per atom
E_form (uncorrected)	0.507	eV per atom

POSCAR file:
```
I
1.0
3.601 0.000 0.000
-1.200 3.395 0.000
-1.200 -1.697 2.940
I
1
Cartesian
0.000 0.000 0.000
```